Record 1
An optimized crystal structure of SrPrDyMg. Source: the Alexandria database, functional PBE.

* uncorrected energy: -3.0312 eV/atom
* calculated formation energy: 0.13 eV/atom
* symmetry: F-43m (216)

Structure (extended XYZ):
```
4
Lattice="-2.653 3.214 4.045 -5.380 1.980 -0.932 -4.464 -2.203 2.992" Properties=species:S:1:pos:R:3 pbc="T T T"
Pr -3.124 0.748 1.526
Sr -9.373 2.243 4.579
Mg 0.000 0.000 0.000
Dy -6.248 1.495 3.052
```

---

Record 2
An optimized crystal structure of ScSnH2W. Source: the Alexandria database, functional PBE.

* uncorrected energy: -4.7942 eV/atom
* symmetry: P4/mmm (123)

Structure (extended XYZ):
```
5
Lattice="3.860 0.000 0.000 0.000 6.183 0.000 0.000 0.000 3.860" Properties=species:S:1:pos:R:3 pbc="T T T"
Sc 0.000 3.092 0.000
H 0.000 0.000 1.930
H 1.930 0.000 0.000
Sn 0.000 0.000 0.000
W 1.930 3.092 1.930
```

---

Record 3
An optimized crystal structure of CuSi2Hg2. Source: the Alexandria database, functional PBE.

* uncorrected formation energy: 0.24 eV/atom
* distance to the lowest polymorph of the same formula: 0 meV/atom
* uncorrected energy: -2.8697 eV/atom
* symmetry: P4/mbm (127)

Structure (extended XYZ):
```
10
Lattice="6.126 0.000 0.000 0.000 6.126 0.000 0.000 0.000 5.293" Properties=species:S:1:pos:R:3 pbc="T T T"
Si 2.204 5.267 0.000
Si 5.267 3.922 0.000
Si 3.922 0.859 0.000
Si 0.859 2.204 0.000
Hg 1.888 4.951 2.647
Hg 4.951 4.238 2.647
Hg 4.238 1.175 2.647
Hg 1.175 1.888 2.647
Cu 0.000 0.000 0.000
Cu 3.063 3.063 0.000
```

---

Record 4
An optimized crystal structure of BaZr2Cu. Source: the Alexandria database, functional PBE.

* distance to the lowest polymorph of the same formula: 515 meV/atom
* uncorrected energy: -5.1200 eV/atom
* calculated formation energy: 0.66 eV/atom
* symmetry: F-43m (216)

Structure (extended XYZ):
```
4
Lattice="-2.050 0.554 -4.781 -0.828 -4.209 -2.995 -4.885 -1.611 -0.954" Properties=species:S:1:pos:R:3 pbc="T T T"
Ba -3.882 -2.633 -4.365
Cu -5.823 -3.950 -6.548
Zr 0.000 0.000 0.000
Zr -1.941 -1.317 -2.183
```

---

Record 5
An optimized crystal structure of PaCo2Te. Source: the Alexandria database, functional PBE.

* uncorrected formation energy: -0.28 eV/atom
* uncorrected energy: -6.9902 eV/atom
* symmetry: R-3m (166)

Structure (extended XYZ):
```
4
Lattice="4.093 0.000 0.000 2.047 3.545 0.000 2.047 1.182 4.788" Properties=species:S:1:pos:R:3 pbc="T T T"
Co 6.140 3.545 3.210
Co 2.047 1.182 1.578
Pa 0.000 0.000 0.000
Te 4.093 2.363 2.394
```

---

Record 6
An optimized crystal structure of Tm2ScS4. Source: the Alexandria database, functional PBE.

* uncorrected formation energy: -1.90 eV/atom
* uncorrected energy: -6.4380 eV/atom
* symmetry: Fddd (70)

Structure (extended XYZ):
```
14
Lattice="-2.227 -6.138 -4.305 4.051 2.789 -6.081 3.555 -1.133 6.883" Properties=species:S:1:pos:R:3 pbc="T T T"
Tm 2.794 -3.640 0.192
Tm 3.042 -1.679 -6.290
Tm 1.016 -3.074 -3.250
Tm 3.907 -0.571 2.344
Sc 4.259 -0.009 -2.193
Sc 0.000 -0.001 -0.001
S -0.486 -5.276 -2.747
S 2.519 -0.871 -3.753
S 3.165 -4.474 -2.364
S 1.216 -5.816 0.559
S 0.586 -2.325 -0.678
S 2.422 -2.806 2.747
S 4.372 -1.464 -0.175
S 1.446 -3.823 -5.822
```

---

Record 7
An optimized crystal structure of Ac3Zn4Rh2. Source: the Alexandria database, functional PBE.

* distance to the lowest polymorph of the same formula: 63 meV/atom
* uncorrected energy: -4.0068 eV/atom
* calculated formation energy: -0.44 eV/atom
* symmetry: C2/m (12)

Structure (extended XYZ):
```
9
Lattice="-0.546 4.172 2.172 1.065 -4.439 3.632 8.102 2.336 -2.449" Properties=species:S:1:pos:R:3 pbc="T T T"
Ac 5.531 3.105 0.588
Ac 0.000 0.000 0.000
Ac 3.089 -1.037 2.768
Zn 0.713 1.243 2.954
Zn 7.907 0.826 0.403
Zn 5.089 1.565 3.436
Zn 3.531 0.504 -0.080
Rh 2.928 2.079 1.904
Rh 5.692 -0.011 1.452
```

---

Record 8
An optimized crystal structure of TiTcSe2N. Source: the Alexandria database, functional PBE.

* uncorrected formation energy: 0.38 eV/atom
* distance to the lowest polymorph of the same formula: 137 meV/atom
* uncorrected energy: -6.3309 eV/atom
* symmetry: P4/mmm (123)

Structure (extended XYZ):
```
5
Lattice="-1.759 -2.306 -4.161 -1.309 -4.031 2.787 -3.332 1.486 0.585" Properties=species:S:1:pos:R:3 pbc="T T T"
N -1.666 0.743 0.292
Tc -3.200 -2.425 -0.395
Se -0.654 -2.015 1.393
Se -0.879 -1.153 -2.081
Ti 0.000 0.000 0.000
```

---

Record 9
An optimized crystal structure of SrNi2Se2. Source: the Alexandria database, functional PBE.

* uncorrected formation energy: -0.75 eV/atom
* distance to the lowest polymorph of the same formula: 0 meV/atom
* uncorrected energy: -4.7921 eV/atom
* symmetry: I4/mmm (139)

Structure (extended XYZ):
```
5
Lattice="3.996 0.000 0.000 0.000 3.996 0.000 1.998 1.998 5.953" Properties=species:S:1:pos:R:3 pbc="T T T"
Sr 0.000 0.000 0.000
Se 1.998 1.998 1.651
Se 3.996 3.996 4.302
Ni 3.996 1.998 2.976
Ni 1.998 3.996 2.976
```

---

Record 10
An optimized crystal structure of LiSc2Ti2. Source: the Alexandria database, functional PBE.

* distance to the lowest polymorph of the same formula: 0 meV/atom
* uncorrected energy: -5.7523 eV/atom
* calculated formation energy: 0.32 eV/atom
* symmetry: P4/mbm (127)

Structure (extended XYZ):
```
10
Lattice="-2.745 2.057 7.573 -7.109 -4.049 -1.477 1.252 -2.623 1.166" Properties=species:S:1:pos:R:3 pbc="T T T"
Sc -4.782 -3.711 0.992
Sc -7.035 -3.183 4.595
Sc -3.820 -0.904 6.271
Sc -1.567 -1.432 2.667
Li 0.000 0.000 0.000
Li -4.927 -0.996 3.048
Ti -7.447 -2.811 1.670
Ti -6.757 -0.608 5.885
Ti -2.407 0.820 4.426
Ti -3.096 -1.383 0.212
```

---

Record 11
An optimized crystal structure of Ac3Sb2AsPd6. Source: the Alexandria database, functional PBE.

* uncorrected formation energy: -0.84 eV/atom
* uncorrected energy: -5.5367 eV/atom
* symmetry: P-3m1 (164)

Structure (extended XYZ):
```
12
Lattice="5.909 0.000 0.000 -2.955 5.117 0.000 0.000 0.000 9.820" Properties=species:S:1:pos:R:3 pbc="T T T"
Ac 0.000 3.412 6.057
Ac 2.955 1.706 3.764
Ac 0.000 0.000 0.000
Sb 2.955 1.706 8.908
Sb 0.000 3.412 0.912
As 0.000 0.000 4.910
Pd 1.479 4.265 2.963
Pd 0.000 1.704 2.963
Pd -1.479 4.265 2.963
Pd 2.955 3.413 6.858
Pd 1.476 0.852 6.858
Pd 4.433 0.852 6.858
```

---

Record 12
An optimized crystal structure of HfAgPt2. Source: the Alexandria database, functional PBE.

* uncorrected energy: -7.0021 eV/atom
* calculated formation energy: -0.78 eV/atom
* symmetry: P4/mmm (123)

Structure (extended XYZ):
```
4
Lattice="-1.590 -0.884 -2.947 0.259 -3.344 0.863 -5.106 0.292 2.667" Properties=species:S:1:pos:R:3 pbc="T T T"
Hf -0.665 -2.114 -1.042
Ag -3.218 -1.968 0.291
Pt -3.846 0.220 2.009
Pt -1.260 0.072 0.658
```

---

> uncorrected energy of number 5 (PaCo2Te)?

-6.9902 eV/atom

---

> uncorrected energy of number 10 (LiSc2Ti2)?

-5.7523 eV/atom

---

> Which of these has the lowest uncorrected energy?

HfAgPt2